# 1
A geometry-optimized Ga2NiBiI structure. Source: the Alexandria database, functional PBE.

Raw formation energy: 1.265 eV/atom
Calculated total energy: -2.19 eV/atom
SG: P4/mmm
Crystal system: tetragonal

a = 5.7835 Å, b = 6.0046 Å, c = 5.7835 Å
α = 90.00°, β = 90.00°, γ = 90.00°
Last column: nearest neighbours and their distance in Å.
Atoms (fractional coordinates):
Ni  0.5000  0.5000  0.5000  4 Bi 4.09, 8 Ga 4.17
Ga  0.0000  0.0000  0.5000  2 I 2.89
Ga  0.5000  0.0000  0.0000  2 I 2.89
Bi  0.0000  0.5000  0.0000  2 I 3.00
I  0.0000  0.0000  0.0000  4 Ga 2.89, 2 Bi 3.00



# 2
A geometry-optimized Ga2BiIO8 structure. Source: the Alexandria database, functional PBE.

Raw formation energy: -0.976 eV/atom
Calculated total energy: -5.24 eV/atom
SG: P2/m
Crystal system: monoclinic

a = 4.7621 Å, b = 4.7580 Å, c = 6.5257 Å
α = 90.00°, β = 90.00°, γ = 91.14°
Last column: nearest neighbours and their distance in Å.
Atoms (fractional coordinates):
O  0.3135  0.3120  0.0000  2 Ga 2.04, 1 I 2.08
O  0.3191  0.3175  0.5000  2 Ga 2.04, 1 Bi 2.12
O  0.7980  0.2037  0.7551  1 Ga 2.02, 1 I 2.11, 1 Bi 2.16
O  0.6809  0.6825  0.5000  2 Ga 2.04, 1 Bi 2.12
O  0.2020  0.7963  0.2449  1 Ga 2.02, 1 I 2.11, 1 Bi 2.16
O  0.2020  0.7963  0.7551  1 Ga 2.02, 1 I 2.11, 1 Bi 2.16
O  0.6865  0.6880  0.0000  2 Ga 2.04, 1 I 2.08
O  0.7980  0.2037  0.2449  1 Ga 2.02, 1 I 2.11, 1 Bi 2.16
Bi  0.0000  0.0000  0.5000  6 O 2.12-2.16
Ga  0.5000  0.5000  0.7523  6 O 2.02-2.04
Ga  0.5000  0.5000  0.2477  6 O 2.02-2.04
I  0.0000  0.0000  0.0000  6 O 2.08-2.11



# 3
A geometry-optimized GaBiIO6 structure. Source: the Alexandria database, functional PBE.

Raw formation energy: -0.928 eV/atom
Calculated total energy: -5.17 eV/atom
SG: P-31c
Crystal system: trigonal

a = 5.2996 Å, b = 5.2996 Å, c = 10.1330 Å
α = 90.00°, β = 90.00°, γ = 120.00°
Last column: nearest neighbours and their distance in Å.
Atoms (fractional coordinates):
O  0.9993  0.6336  0.3595  1 Ga 2.02, 1 I 2.02
O  0.3657  0.3664  0.8595  1 Ga 2.02, 1 I 2.02
O  0.3657  0.9993  0.6405  1 Ga 2.02, 1 I 2.02
O  0.9993  0.3657  0.1405  1 Ga 2.02, 1 I 2.02
O  0.6336  0.9993  0.8595  1 Ga 2.02, 1 I 2.02
O  0.0007  0.3664  0.6405  1 Ga 2.02, 1 I 2.02
O  0.3664  0.3657  0.3595  1 Ga 2.02, 1 I 2.02
O  0.0007  0.6343  0.8595  1 Ga 2.02, 1 I 2.02
O  0.6336  0.6343  0.6405  1 Ga 2.02, 1 I 2.02
O  0.6343  0.0007  0.3595  1 Ga 2.02, 1 I 2.02
O  0.6343  0.6336  0.1405  1 Ga 2.02, 1 I 2.02
O  0.3664  0.0007  0.1405  1 Ga 2.02, 1 I 2.02
Bi  0.0000  0.0000  0.0000  6 O 2.41
Bi  0.0000  0.0000  0.5000  6 O 2.41
I  0.6667  0.3333  0.7500  6 O 2.02
I  0.3333  0.6667  0.2500  6 O 2.02
Ga  0.3333  0.6667  0.7500  6 O 2.02
Ga  0.6667  0.3333  0.2500  6 O 2.02



# 4
A geometry-optimized GaBi2PbI structure. Source: the Alexandria database, functional PBE.

Raw formation energy: 0.565 eV/atom
Calculated total energy: -2.64 eV/atom
SG: P4/mmm
Crystal system: tetragonal

a = 6.0122 Å, b = 6.3765 Å, c = 6.0122 Å
α = 90.00°, β = 90.00°, γ = 90.00°
Last column: nearest neighbours and their distance in Å.
Atoms (fractional coordinates):
Ga  0.5000  0.5000  0.5000  4 I 4.25, 8 Bi 4.38
Pb  0.0000  0.0000  0.0000  4 Bi 3.01, 2 I 3.19
Bi  0.0000  0.0000  0.5000  2 Pb 3.01
Bi  0.5000  0.0000  0.0000  2 Pb 3.01
I  0.0000  0.5000  0.0000  2 Pb 3.19



# 5
A geometry-optimized Ga2BiPtI structure. Source: the Alexandria database, functional PBE.

Raw formation energy: 1.032 eV/atom
Calculated total energy: -2.47 eV/atom
SG: P4/mmm
Crystal system: tetragonal

a = 5.6412 Å, b = 5.9222 Å, c = 5.6412 Å
α = 90.00°, β = 90.00°, γ = 90.00°
Last column: nearest neighbours and their distance in Å.
Atoms (fractional coordinates):
I  0.0000  0.5000  0.0000  2 Bi 2.96
Pt  0.5000  0.5000  0.5000  4 I 3.99, 8 Ga 4.09
Ga  0.0000  0.0000  0.5000  2 Bi 2.82
Ga  0.5000  0.0000  0.0000  2 Bi 2.82
Bi  0.0000  0.0000  0.0000  4 Ga 2.82, 2 I 2.96



# 6
A geometry-optimized GaBiRhI2 structure. Source: the Alexandria database, functional PBE.

Raw formation energy: 0.904 eV/atom
Calculated total energy: -2.57 eV/atom
SG: P4/mmm
Crystal system: tetragonal

a = 5.5000 Å, b = 5.5542 Å, c = 5.5000 Å
α = 90.00°, β = 90.00°, γ = 90.00°
Last column: nearest neighbours and their distance in Å.
Atoms (fractional coordinates):
Ga  0.0000  0.0000  0.0000  4 I 2.75, 2 Bi 2.78
Rh  0.5000  0.5000  0.5000  4 Bi 3.89, 8 I 3.91
I  0.0000  0.0000  0.5000  2 Ga 2.75
I  0.5000  0.0000  0.0000  2 Ga 2.75
Bi  0.0000  0.5000  0.0000  2 Ga 2.78



# 7
A geometry-optimized GaBi2RuI structure. Source: the Alexandria database, functional PBE.

Raw formation energy: 0.442 eV/atom
Distance to the lowest polymorph of the same formula: 0 meV/atom
Calculated total energy: -3.88 eV/atom
SG: P4/mmm
Crystal system: tetragonal

a = 5.2191 Å, b = 5.9771 Å, c = 5.2191 Å
α = 90.00°, β = 90.00°, γ = 90.00°
Last column: nearest neighbours and their distance in Å.
Atoms (fractional coordinates):
Ga  0.5000  0.5000  0.5000  4 I 3.69, 8 Bi 3.97
Ru  0.0000  0.0000  0.0000  4 Bi 2.61
Bi  0.5000  0.0000  0.0000  2 Ru 2.61
Bi  0.0000  0.0000  0.5000  2 Ru 2.61
I  0.0000  0.5000  0.0000  2 Ru 2.99



# 8
A geometry-optimized GaBi2RuI structure. Source: the Alexandria database, functional PBE.

Raw formation energy: 1.218 eV/atom
Distance to the lowest polymorph of the same formula: 776 meV/atom
Calculated total energy: -3.11 eV/atom
SG: P4/mmm
Crystal system: tetragonal

a = 5.4450 Å, b = 5.4948 Å, c = 5.4450 Å
α = 90.00°, β = 90.00°, γ = 90.00°
Last column: nearest neighbours and their distance in Å.
Atoms (fractional coordinates):
Ga  0.0000  0.0000  0.0000  4 Bi 2.72, 2 I 2.75
Ru  0.5000  0.5000  0.5000  4 I 3.85, 8 Bi 3.87
I  0.0000  0.5000  0.0000  2 Ga 2.75
Bi  0.5000  0.0000  0.0000  2 Ga 2.72
Bi  0.0000  0.0000  0.5000  2 Ga 2.72